Record 1
# BaSn2OsC

An optimized crystal structure of BaSn2OsC (PBE, the Alexandria database).

Results
E_form: 2.9007 eV/atom
VASP energy: -15.9 eV per cell

Lattice parameters (Å, degrees): 5.939 5.939 4.352 90.00 90.00 90.00
Sites, in units of the cell vectors:
Ba 0.000 0.000 0.000
Sn 0.000 0.500 0.000
Sn 0.500 0.000 0.000
Os 0.500 0.500 0.500
C 0.000 0.000 0.500

---

Record 2
# Ba2TiOsC

An optimized crystal structure of Ba2TiOsC (PBE, the Alexandria database).

Results
E_form: 1.0287 eV/atom
VASP energy: -27.1 eV per cell

Lattice parameters (Å, degrees): 5.681 5.681 4.050 90.00 90.00 90.00
Sites, in units of the cell vectors:
Ba 0.000 0.500 0.000
Ba 0.500 0.000 0.000
Ti 0.000 0.000 0.500
Os 0.500 0.500 0.500
C 0.000 0.000 0.000

---

Record 3
# Ba2VOsC

An optimized crystal structure of Ba2VOsC (PBE, the Alexandria database).

Results
E_form: 1.4603 eV/atom
VASP energy: -26.1 eV per cell

Lattice parameters (Å, degrees): 6.062 6.062 3.772 90.00 90.00 90.00
Sites, in units of the cell vectors:
Ba 0.000 0.500 0.000
Ba 0.500 0.000 0.000
V 0.000 0.000 0.000
Os 0.500 0.500 0.500
C 0.000 0.000 0.500

---

Record 4
# Ba2ZrOsC

An optimized crystal structure of Ba2ZrOsC (PBE, the Alexandria database).

Results
E_form: 1.5333 eV/atom
VASP energy: -25.2 eV per cell

Lattice parameters (Å, degrees): 6.199 6.199 4.925 90.00 90.00 90.00
Sites, in units of the cell vectors:
Ba 0.000 0.500 0.000
Ba 0.500 0.000 0.000
Zr 0.000 0.000 0.500
Os 0.000 0.000 0.000
C 0.500 0.500 0.500

---

Record 5
# BaP3C

An optimized crystal structure of BaP3C (PBE, the Alexandria database).

Results
Relative energy among the computed polymorphs: 0 meV/atom
E_form: 0.7627 eV/atom
VASP energy: -23.6 eV per cell

Lattice parameters (Å, degrees): 4.506 4.506 4.506 90.00 90.00 90.00
Sites, in units of the cell vectors:
Ba 0.000 0.000 0.000
P 0.000 0.500 0.500
P 0.500 0.000 0.500
P 0.500 0.500 0.000
C 0.500 0.500 0.500

---

Record 6
# BaPC2

An optimized crystal structure of BaPC2 (PBE, the Alexandria database).

Results
E_form: 0.4822 eV/atom
VASP energy: -47.7 eV per cell

Lattice parameters (Å, degrees): 5.557 5.557 5.557 118.64 118.64 92.38
Sites, in units of the cell vectors:
Ba 0.000 0.000 0.000
Ba 0.750 0.250 0.500
P 0.250 0.750 0.500
P 0.500 0.500 0.000
C 0.314 0.125 0.689
C 0.375 0.686 0.811
C 0.436 0.625 0.311
C 0.875 0.564 0.189

---

Record 7
# Ba2PC

An optimized crystal structure of Ba2PC (PBE, the Alexandria database).

Results
Relative energy among the computed polymorphs: 0 meV/atom
E_form: 0.4198 eV/atom
VASP energy: -16.8 eV per cell

Lattice parameters (Å, degrees): 5.429 5.429 5.429 60.00 60.00 60.00
Sites, in units of the cell vectors:
Ba 0.250 0.250 0.250
Ba 0.750 0.750 0.750
P 0.000 0.000 0.000
C 0.500 0.500 0.500

---

Record 8
# Ba2PC

An optimized crystal structure of Ba2PC (PBE, the Alexandria database).

Results
Relative energy among the computed polymorphs: 97 meV/atom
E_form: 0.5170 eV/atom
VASP energy: -32.8 eV per cell

Lattice parameters (Å, degrees): 7.078 7.078 7.078 112.52 112.52 103.53
Sites, in units of the cell vectors:
Ba 0.097 0.625 0.972
Ba 0.375 0.347 0.472
Ba 0.653 0.125 0.028
Ba 0.875 0.903 0.528
P 0.250 0.750 0.500
P 0.500 0.500 0.000
C 0.000 0.000 0.000
C 0.750 0.250 0.500

---

Record 9
# BaP3C

An optimized crystal structure of BaP3C (PBE, the Alexandria database).

Results
Relative energy among the computed polymorphs: 2214 meV/atom
E_form: 2.9766 eV/atom
VASP energy: -12.5 eV per cell

Lattice parameters (Å, degrees): 5.661 5.661 5.661 90.00 90.00 90.00
Sites, in units of the cell vectors:
Ba 0.000 0.000 0.000
P 0.000 0.000 0.500
P 0.000 0.500 0.000
P 0.500 0.000 0.000
C 0.500 0.500 0.500

---

Record 10
# BaPCS2

An optimized crystal structure of BaPCS2 (PBE, the Alexandria database).

Results
Relative energy among the computed polymorphs: 0 meV/atom
VASP energy: -23.3 eV per cell

Lattice parameters (Å, degrees): 5.013 5.013 3.899 90.00 90.00 90.00
Sites, in units of the cell vectors:
Ba 0.000 0.000 0.000
P 0.500 0.500 0.000
C 0.500 0.500 0.500
S 0.000 0.500 0.500
S 0.500 0.000 0.500

---

Record 11
# BaPCS2

An optimized crystal structure of BaPCS2 (PBE, the Alexandria database).

Results
Relative energy among the computed polymorphs: 1784 meV/atom
VASP energy: -14.3 eV per cell

Lattice parameters (Å, degrees): 6.086 6.086 6.592 90.00 90.00 90.00
Sites, in units of the cell vectors:
Ba 0.000 0.000 0.000
P 0.000 0.000 0.500
C 0.500 0.500 0.500
S 0.000 0.500 0.000
S 0.500 0.000 0.000

---

Record 12
# Ba2Tc2P2C

An optimized crystal structure of Ba2Tc2P2C (PBE, the Alexandria database).

Results
E_form: -0.6225 eV/atom
VASP energy: -49.0 eV per cell

Lattice parameters (Å, degrees): 6.112 6.112 7.699 120.53 120.53 39.00
Sites, in units of the cell vectors:
Ba 0.065 0.065 0.329
Ba 0.935 0.935 0.671
Tc 0.314 0.314 0.935
Tc 0.686 0.686 0.065
P 0.299 0.299 0.232
P 0.701 0.701 0.768
C 0.500 0.500 0.000

---

Record 13
# BaTi2PC

An optimized crystal structure of BaTi2PC (PBE, the Alexandria database).

Results
E_form: 2.4562 eV/atom
VASP energy: -20.1 eV per cell

Lattice parameters (Å, degrees): 5.138 5.138 4.303 90.00 90.00 90.00
Sites, in units of the cell vectors:
Ba 0.000 0.000 0.000
Ti 0.000 0.500 0.000
Ti 0.500 0.000 0.000
P 0.500 0.500 0.500
C 0.000 0.000 0.500

---

Record 14
# BaTlPC2

An optimized crystal structure of BaTlPC2 (PBE, the Alexandria database).

Results
E_form: 1.8283 eV/atom
VASP energy: -19.0 eV per cell

Lattice parameters (Å, degrees): 4.649 4.649 5.328 90.00 90.00 90.00
Sites, in units of the cell vectors:
Ba 0.000 0.000 0.000
Tl 0.500 0.500 0.500
P 0.500 0.500 0.000
C 0.000 0.500 0.500
C 0.500 0.000 0.500

---

Record 15
# Ba2ZnPC

An optimized crystal structure of Ba2ZnPC (PBE, the Alexandria database).

Results
E_form: -0.0514 eV/atom
VASP energy: -20.0 eV per cell

Lattice parameters (Å, degrees): 5.915 5.915 3.784 90.00 90.00 90.00
Sites, in units of the cell vectors:
Ba 0.000 0.500 0.000
Ba 0.500 0.000 0.000
Zn 0.000 0.000 0.500
P 0.500 0.500 0.500
C 0.000 0.000 0.000

---

Record 16
# BaRuPb2C

An optimized crystal structure of BaRuPb2C (PBE, the Alexandria database).

Results
E_form: 1.1307 eV/atom
VASP energy: -22.2 eV per cell

Lattice parameters (Å, degrees): 5.184 5.184 6.186 90.00 90.00 90.00
Sites, in units of the cell vectors:
Ba 0.000 0.000 0.000
Ru 0.000 0.000 0.500
Pb 0.000 0.500 0.500
Pb 0.500 0.000 0.500
C 0.500 0.500 0.000

---

Record 17
# BaSb2PbC

An optimized crystal structure of BaSb2PbC (PBE, the Alexandria database).

Results
VASP energy: -15.4 eV per cell

Lattice parameters (Å, degrees): 5.712 5.712 6.883 90.00 90.00 90.00
Sites, in units of the cell vectors:
Ba 0.000 0.000 0.000
Sb 0.000 0.500 0.500
Sb 0.500 0.000 0.500
Pb 0.000 0.000 0.500
C 0.500 0.500 0.000

---

Record 18
# BaTiPbC2

An optimized crystal structure of BaTiPbC2 (PBE, the Alexandria database).

Results
E_form: 2.7603 eV/atom
VASP energy: -18.2 eV per cell

Lattice parameters (Å, degrees): 4.737 4.737 5.451 90.00 90.00 90.00
Sites, in units of the cell vectors:
Ba 0.000 0.000 0.000
Ti 0.000 0.000 0.500
Pb 0.500 0.500 0.500
C 0.000 0.500 0.000
C 0.500 0.000 0.000

---

Record 19
# Ba2ZrPbC

An optimized crystal structure of Ba2ZrPbC (PBE, the Alexandria database).

Results
E_form: 1.5657 eV/atom
VASP energy: -17.5 eV per cell

Lattice parameters (Å, degrees): 6.790 6.790 5.578 90.00 90.00 90.00
Sites, in units of the cell vectors:
Ba 0.000 0.500 0.000
Ba 0.500 0.000 0.000
Zr 0.000 0.000 0.500
Pb 0.000 0.000 0.000
C 0.500 0.500 0.500

---

Record 20
# BaPdC2

An optimized crystal structure of BaPdC2 (PBE, the Alexandria database).

Results
Relative energy among the computed polymorphs: 0 meV/atom
E_form: 1.0857 eV/atom
VASP energy: -42.4 eV per cell

Lattice parameters (Å, degrees): 5.772 5.772 5.772 114.59 114.59 99.66
Sites, in units of the cell vectors:
Ba 0.000 0.000 0.000
Ba 0.750 0.250 0.500
Pd 0.250 0.750 0.500
Pd 0.500 0.500 0.000
C 0.240 0.625 0.115
C 0.375 0.490 0.615
C 0.510 0.125 0.885
C 0.875 0.760 0.385

---

Record 21
# BaPd2C

An optimized crystal structure of BaPd2C (PBE, the Alexandria database).

Results
E_form: 0.0692 eV/atom
VASP energy: -42.5 eV per cell

Lattice parameters (Å, degrees): 7.254 7.254 7.254 136.25 136.25 63.60
Sites, in units of the cell vectors:
Ba 0.375 0.625 0.750
Ba 0.625 0.375 0.250
Pd 0.000 0.000 0.000
Pd 0.000 0.000 0.500
Pd 0.000 0.500 0.000
Pd 0.500 0.000 0.500
C 0.125 0.875 0.250
C 0.875 0.125 0.750

---

Record 22
# Ba3PdC

An optimized crystal structure of Ba3PdC (PBE, the Alexandria database).

Results
Relative energy among the computed polymorphs: 0 meV/atom
E_form: 0.3422 eV/atom
VASP energy: -18.5 eV per cell

Lattice parameters (Å, degrees): 5.639 5.639 5.639 90.00 90.00 90.00
Sites, in units of the cell vectors:
Ba 0.000 0.000 0.500
Ba 0.000 0.500 0.000
Ba 0.500 0.000 0.000
Pd 0.500 0.500 0.500
C 0.000 0.000 0.000

---

Record 23
# BaPdC2

An optimized crystal structure of BaPdC2 (PBE, the Alexandria database).

Results
Relative energy among the computed polymorphs: 782 meV/atom
E_form: 1.8681 eV/atom
VASP energy: -18.1 eV per cell

Lattice parameters (Å, degrees): 4.510 4.510 4.510 60.00 60.00 60.00
Sites, in units of the cell vectors:
Ba 0.000 0.000 0.000
Pd 0.500 0.500 0.500
C 0.250 0.250 0.250
C 0.750 0.750 0.750

---

Record 24
# Ba2PdPtC

An optimized crystal structure of Ba2PdPtC (PBE, the Alexandria database).

Results
E_form: -0.2691 eV/atom
VASP energy: -25.6 eV per cell

Lattice parameters (Å, degrees): 5.894 5.894 3.876 90.00 90.00 90.00
Sites, in units of the cell vectors:
Ba 0.000 0.500 0.000
Ba 0.500 0.000 0.000
Pd 0.000 0.000 0.500
Pt 0.500 0.500 0.500
C 0.500 0.500 0.000

---

Record 25
# BaPdRh2C

An optimized crystal structure of BaPdRh2C (PBE, the Alexandria database).

Results
E_form: 1.9075 eV/atom
VASP energy: -21.5 eV per cell

Lattice parameters (Å, degrees): 4.792 4.792 6.133 90.00 90.00 90.00
Sites, in units of the cell vectors:
Ba 0.000 0.000 0.000
Pd 0.000 0.000 0.500
Rh 0.000 0.500 0.500
Rh 0.500 0.000 0.500
C 0.500 0.500 0.000

---

Record 26
# BaPdC2Se

An optimized crystal structure of BaPdC2Se (PBE, the Alexandria database).

Results
VASP energy: -21.7 eV per cell

Lattice parameters (Å, degrees): 4.448 4.448 4.729 90.00 90.00 90.00
Sites, in units of the cell vectors:
Ba 0.000 0.000 0.000
Pd 0.500 0.500 0.000
C 0.000 0.500 0.500
C 0.500 0.000 0.500
Se 0.500 0.500 0.500

---

Record 27
# BaTiPd2C

An optimized crystal structure of BaTiPd2C (PBE, the Alexandria database).

Results
E_form: 0.7328 eV/atom
VASP energy: -25.8 eV per cell

Lattice parameters (Å, degrees): 4.228 4.228 5.356 90.00 90.00 90.00
Sites, in units of the cell vectors:
Ba 0.000 0.000 0.000
Ti 0.500 0.500 0.000
Pd 0.000 0.500 0.500
Pd 0.500 0.000 0.500
C 0.000 0.000 0.500

---

Record 28
# BaPd2WC

An optimized crystal structure of BaPd2WC (PBE, the Alexandria database).

Results
E_form: 2.0164 eV/atom
VASP energy: -24.4 eV per cell

Lattice parameters (Å, degrees): 4.765 4.765 6.467 90.00 90.00 90.00
Sites, in units of the cell vectors:
Ba 0.000 0.000 0.000
Pd 0.000 0.500 0.500
Pd 0.500 0.000 0.500
W 0.000 0.000 0.500
C 0.500 0.500 0.000